1) Computed, not measured: an optimized crystal structure of SnMoS2N at the PBE level of DFT.

Its size of the total moment is 2.92 μB/f.u.

Geometry as CIF:
```
data_SnMoS2N
_cell_length_a 5.049
_cell_length_b 5.049
_cell_length_c 3.947
_cell_angle_alpha 90.00
_cell_angle_beta 90.00
_cell_angle_gamma 90.00
_symmetry_space_group_name_H-M 'P 4/m m m'
_symmetry_Int_Tables_number 123
_symmetry_space_group_name_Hall '-P 4 2'
loop_
_atom_site_label
_atom_site_fract_x
_atom_site_fract_y
_atom_site_fract_z
_atom_site_occupancy
Sn1 0.000 0.000 0.000 1
Mo1 0.500 0.500 0.500 1
S1 0.000 0.500 0.000 1
N1 0.000 0.000 0.500 1
```

***

2) Computed, not measured: an optimized crystal structure of SnMoS2N at the PBE level of DFT.

Its size of the total moment is 0.17 μB/f.u.

Geometry as CIF:
```
data_SnMoS2N
_cell_length_a 4.908
_cell_length_b 4.908
_cell_length_c 3.834
_cell_angle_alpha 90.00
_cell_angle_beta 90.00
_cell_angle_gamma 90.00
_symmetry_space_group_name_H-M 'P 4/m m m'
_symmetry_Int_Tables_number 123
_symmetry_space_group_name_Hall '-P 4 2'
loop_
_atom_site_label
_atom_site_fract_x
_atom_site_fract_y
_atom_site_fract_z
_atom_site_occupancy
Sn1 0.000 0.000 0.000 1
Mo1 0.500 0.500 0.500 1
S1 0.000 0.500 0.500 1
N1 0.500 0.500 0.000 1
```

***

Of them, the most stable is 2) and the least stable is 1).

***

1) Computed, not measured: an optimized crystal structure of SrMoSN2 at the PBE level of DFT.

Its size of the total moment is 1.22 μB/f.u.

Geometry as CIF:
```
data_SrMoSN2
_cell_length_a 4.386
_cell_length_b 4.386
_cell_length_c 4.346
_cell_angle_alpha 90.00
_cell_angle_beta 90.00
_cell_angle_gamma 90.00
_symmetry_space_group_name_H-M 'P 4/m m m'
_symmetry_Int_Tables_number 123
_symmetry_space_group_name_Hall '-P 4 2'
loop_
_atom_site_label
_atom_site_fract_x
_atom_site_fract_y
_atom_site_fract_z
_atom_site_occupancy
Sr1 0.000 0.000 0.000 1
Mo1 0.500 0.500 0.000 1
S1 0.500 0.500 0.500 1
N1 0.000 0.500 0.500 1
```

***

2) Computed, not measured: an optimized crystal structure of SrMoSN2 at the PBE level of DFT.

Its size of the total moment is 0.00 μB/f.u.

Geometry as CIF:
```
data_SrMoSN2
_cell_length_a 4.026
_cell_length_b 4.026
_cell_length_c 4.955
_cell_angle_alpha 90.00
_cell_angle_beta 90.00
_cell_angle_gamma 90.00
_symmetry_space_group_name_H-M 'P 4/m m m'
_symmetry_Int_Tables_number 123
_symmetry_space_group_name_Hall '-P 4 2'
loop_
_atom_site_label
_atom_site_fract_x
_atom_site_fract_y
_atom_site_fract_z
_atom_site_occupancy
Sr1 0.000 0.000 0.000 1
Mo1 0.500 0.500 0.500 1
S1 0.500 0.500 0.000 1
N1 0.000 0.500 0.500 1
```

***

Of them, the most stable is 2) and the least stable is 1).

***

1) Computed, not measured: an optimized crystal structure of TaMoSN2 at the PBE level of DFT.

Its size of the total moment is 3.24 μB/f.u.

Geometry as CIF:
```
data_TaMoSN2
_cell_length_a 3.990
_cell_length_b 3.990
_cell_length_c 5.021
_cell_angle_alpha 90.00
_cell_angle_beta 90.00
_cell_angle_gamma 90.00
_symmetry_space_group_name_H-M 'P 4/m m m'
_symmetry_Int_Tables_number 123
_symmetry_space_group_name_Hall '-P 4 2'
loop_
_atom_site_label
_atom_site_fract_x
_atom_site_fract_y
_atom_site_fract_z
_atom_site_occupancy
Ta1 0.000 0.000 0.000 1
Mo1 0.500 0.500 0.500 1
S1 0.000 0.000 0.500 1
N1 0.000 0.500 0.000 1
```

***

2) Computed, not measured: an optimized crystal structure of TaMoSN2 at the PBE level of DFT.

Its size of the total moment is 0.18 μB/f.u.

Geometry as CIF:
```
data_TaMoSN2
_cell_length_a 3.869
_cell_length_b 3.869
_cell_length_c 4.773
_cell_angle_alpha 90.00
_cell_angle_beta 90.00
_cell_angle_gamma 90.00
_symmetry_space_group_name_H-M 'P 4/m m m'
_symmetry_Int_Tables_number 123
_symmetry_space_group_name_Hall '-P 4 2'
loop_
_atom_site_label
_atom_site_fract_x
_atom_site_fract_y
_atom_site_fract_z
_atom_site_occupancy
Ta1 0.000 0.000 0.000 1
Mo1 0.500 0.500 0.500 1
S1 0.500 0.500 0.000 1
N1 0.000 0.500 0.500 1
```

***

Of them, the most stable is 1) and the least stable is 2).

***

1) Computed, not measured: an optimized crystal structure of TlMoS2N at the PBE level of DFT.

Its size of the total moment is 1.96 μB/f.u.

Geometry as CIF:
```
data_TlMoS2N
_cell_length_a 5.187
_cell_length_b 5.187
_cell_length_c 4.185
_cell_angle_alpha 90.00
_cell_angle_beta 90.00
_cell_angle_gamma 90.00
_symmetry_space_group_name_H-M 'P 4/m m m'
_symmetry_Int_Tables_number 123
_symmetry_space_group_name_Hall '-P 4 2'
loop_
_atom_site_label
_atom_site_fract_x
_atom_site_fract_y
_atom_site_fract_z
_atom_site_occupancy
Tl1 0.000 0.000 0.000 1
Mo1 0.500 0.500 0.500 1
S1 0.000 0.500 0.000 1
N1 0.000 0.000 0.500 1
```

***

2) Computed, not measured: an optimized crystal structure of TlMoS2N at the PBE level of DFT.

Its size of the total moment is 0.00 μB/f.u.

Geometry as CIF:
```
data_TlMoS2N
_cell_length_a 4.931
_cell_length_b 4.931
_cell_length_c 3.860
_cell_angle_alpha 90.00
_cell_angle_beta 90.00
_cell_angle_gamma 90.00
_symmetry_space_group_name_H-M 'P 4/m m m'
_symmetry_Int_Tables_number 123
_symmetry_space_group_name_Hall '-P 4 2'
loop_
_atom_site_label
_atom_site_fract_x
_atom_site_fract_y
_atom_site_fract_z
_atom_site_occupancy
Tl1 0.000 0.000 0.000 1
Mo1 0.500 0.500 0.500 1
S1 0.000 0.500 0.500 1
N1 0.500 0.500 0.000 1
```

***

Of them, the most stable is 2) and the least stable is 1).

***

1) Computed, not measured: an optimized crystal structure of MoWSN2 at the PBE level of DFT.

Its size of the total moment is 3.31 μB/f.u.

Geometry as CIF:
```
data_MoWSN2
_cell_length_a 3.900
_cell_length_b 3.900
_cell_length_c 4.942
_cell_angle_alpha 90.00
_cell_angle_beta 90.00
_cell_angle_gamma 90.00
_symmetry_space_group_name_H-M 'P 4/m m m'
_symmetry_Int_Tables_number 123
_symmetry_space_group_name_Hall '-P 4 2'
loop_
_atom_site_label
_atom_site_fract_x
_atom_site_fract_y
_atom_site_fract_z
_atom_site_occupancy
Mo1 0.000 0.000 0.000 1
W1 0.500 0.500 0.500 1
S1 0.500 0.500 0.000 1
N1 0.000 0.500 0.500 1
```

***

2) Computed, not measured: an optimized crystal structure of MoWSN2 at the PBE level of DFT.

Its size of the total moment is 3.00 μB/f.u.

Geometry as CIF:
```
data_MoWSN2
_cell_length_a 3.872
_cell_length_b 3.872
_cell_length_c 4.974
_cell_angle_alpha 90.00
_cell_angle_beta 90.00
_cell_angle_gamma 90.00
_symmetry_space_group_name_H-M 'P 4/m m m'
_symmetry_Int_Tables_number 123
_symmetry_space_group_name_Hall '-P 4 2'
loop_
_atom_site_label
_atom_site_fract_x
_atom_site_fract_y
_atom_site_fract_z
_atom_site_occupancy
Mo1 0.000 0.000 0.000 1
W1 0.500 0.500 0.500 1
S1 0.000 0.000 0.500 1
N1 0.000 0.500 0.000 1
```

***

Of them, the most stable is 1) and the least stable is 2).

***

1) Computed, not measured: an optimized crystal structure of ZnMoS2N at the PBE level of DFT.

Its size of the total moment is 1.58 μB/f.u.

Geometry as CIF:
```
data_ZnMoS2N
_cell_length_a 4.720
_cell_length_b 4.720
_cell_length_c 3.557
_cell_angle_alpha 90.00
_cell_angle_beta 90.00
_cell_angle_gamma 90.00
_symmetry_space_group_name_H-M 'P 4/m m m'
_symmetry_Int_Tables_number 123
_symmetry_space_group_name_Hall '-P 4 2'
loop_
_atom_site_label
_atom_site_fract_x
_atom_site_fract_y
_atom_site_fract_z
_atom_site_occupancy
Zn1 0.000 0.000 0.000 1
Mo1 0.500 0.500 0.500 1
S1 0.000 0.500 0.000 1
N1 0.000 0.000 0.500 1
```

***

2) Computed, not measured: an optimized crystal structure of ZnMoS2N at the PBE level of DFT.

Its size of the total moment is 0.00 μB/f.u.

Geometry as CIF:
```
data_ZnMoS2N
_cell_length_a 4.833
_cell_length_b 4.833
_cell_length_c 3.789
_cell_angle_alpha 90.00
_cell_angle_beta 90.00
_cell_angle_gamma 90.00
_symmetry_space_group_name_H-M 'P 4/m m m'
_symmetry_Int_Tables_number 123
_symmetry_space_group_name_Hall '-P 4 2'
loop_
_atom_site_label
_atom_site_fract_x
_atom_site_fract_y
_atom_site_fract_z
_atom_site_occupancy
Zn1 0.000 0.000 0.000 1
Mo1 0.500 0.500 0.500 1
S1 0.000 0.500 0.500 1
N1 0.500 0.500 0.000 1
```

***

Of them, the most stable is 2) and the least stable is 1).

***

1) Computed, not measured: an optimized crystal structure of ZrMoSN2 at the PBE level of DFT.

Its size of the total moment is 2.93 μB/f.u.

Geometry as CIF:
```
data_ZrMoSN2
_cell_length_a 4.109
_cell_length_b 4.109
_cell_length_c 5.186
_cell_angle_alpha 90.00
_cell_angle_beta 90.00
_cell_angle_gamma 90.00
_symmetry_space_group_name_H-M 'P 4/m m m'
_symmetry_Int_Tables_number 123
_symmetry_space_group_name_Hall '-P 4 2'
loop_
_atom_site_label
_atom_site_fract_x
_atom_site_fract_y
_atom_site_fract_z
_atom_site_occupancy
Zr1 0.000 0.000 0.000 1
Mo1 0.500 0.500 0.500 1
S1 0.000 0.000 0.500 1
N1 0.000 0.500 0.000 1
```

***

2) Computed, not measured: an optimized crystal structure of ZrMoSN2 at the PBE level of DFT.

Its size of the total moment is 0.00 μB/f.u.

Geometry as CIF:
```
data_ZrMoSN2
_cell_length_a 3.910
_cell_length_b 3.910
_cell_length_c 4.777
_cell_angle_alpha 90.00
_cell_angle_beta 90.00
_cell_angle_gamma 90.00
_symmetry_space_group_name_H-M 'P 4/m m m'
_symmetry_Int_Tables_number 123
_symmetry_space_group_name_Hall '-P 4 2'
loop_
_atom_site_label
_atom_site_fract_x
_atom_site_fract_y
_atom_site_fract_z
_atom_site_occupancy
Zr1 0.000 0.000 0.000 1
Mo1 0.500 0.500 0.500 1
S1 0.500 0.500 0.000 1
N1 0.000 0.500 0.500 1
```

***

Of them, the most stable is 2) and the least stable is 1).

***

1) Computed, not measured: an optimized crystal structure of Sb3MoN at the PBE level of DFT.

Its size of the total moment is 0.00 μB/f.u.

Geometry as CIF:
```
data_Sb3MoN
_cell_length_a 5.130
_cell_length_b 5.130
_cell_length_c 5.130
_cell_angle_alpha 90.00
_cell_angle_beta 90.00
_cell_angle_gamma 90.00
_symmetry_space_group_name_H-M 'P m -3 m'
_symmetry_Int_Tables_number 221
_symmetry_space_group_name_Hall '-P 4 2 3'
loop_
_atom_site_label
_atom_site_fract_x
_atom_site_fract_y
_atom_site_fract_z
_atom_site_occupancy
Sb1 0.000 0.000 0.500 1
Mo1 0.000 0.000 0.000 1
N1 0.500 0.500 0.500 1
```

***

2) Computed, not measured: an optimized crystal structure of Sb3MoN at the PBE level of DFT.

Its size of the total moment is 2.14 μB/f.u.

Geometry as CIF:
```
data_Sb3MoN
_cell_length_a 4.634
_cell_length_b 4.634
_cell_length_c 4.634
_cell_angle_alpha 90.00
_cell_angle_beta 90.00
_cell_angle_gamma 90.00
_symmetry_space_group_name_H-M 'P m -3 m'
_symmetry_Int_Tables_number 221
_symmetry_space_group_name_Hall '-P 4 2 3'
loop_
_atom_site_label
_atom_site_fract_x
_atom_site_fract_y
_atom_site_fract_z
_atom_site_occupancy
Sb1 0.000 0.000 0.500 1
Mo1 0.500 0.500 0.500 1
N1 0.000 0.000 0.000 1
```

***

Of them, the most stable is 2) and the least stable is 1).